Record 1
Entry from Alexandria via LeMat-Bulk: a crystal of Mg3Cu2As3O12 relaxed with PBEsol (meta-GGA SCAN).

Structure (POSCAR):
```
Mg3Cu2As3O12
1.0
5.957 -6.447 0.000
5.957 6.447 0.000
-2.604 0.000 6.225
Mg Cu As O
6 4 6 24
Direct
0.131 0.444 0.881
0.241 0.759 0.750
0.444 0.131 0.381
0.556 0.869 0.619
0.759 0.241 0.250
0.869 0.556 0.119
0.003 0.997 0.250
0.500 0.500 0.000
0.500 0.500 0.500
0.997 0.003 0.750
0.149 0.387 0.377
0.213 0.787 0.250
0.387 0.149 0.877
0.613 0.851 0.123
0.787 0.213 0.750
0.851 0.613 0.623
0.005 0.223 0.314
0.010 0.774 0.233
0.096 0.478 0.181
0.164 0.512 0.623
0.223 0.005 0.814
0.226 0.990 0.267
0.247 0.681 0.020
0.319 0.753 0.480
0.330 0.334 0.888
0.334 0.330 0.388
0.478 0.096 0.681
0.488 0.836 0.877
0.512 0.164 0.123
0.522 0.904 0.319
0.666 0.670 0.612
0.670 0.666 0.112
0.681 0.247 0.520
0.753 0.319 0.980
0.774 0.010 0.733
0.777 0.995 0.186
0.836 0.488 0.377
0.904 0.522 0.819
0.990 0.226 0.767
0.995 0.777 0.686
```

M_tot: 0.05 μB/atom
volume: 12.0 Å³ per atom
raw formation energy: -1.846 eV per atom

---

Record 2
Entry from Alexandria via LeMat-Bulk: a crystal of CdFe relaxed with PBEsol (meta-GGA SCAN).

Structure (POSCAR):
```
CdFe
1.0
1.429 0.825 8.880
-1.429 0.825 8.880
0.000 -1.650 8.880
Cd Fe
2 2
Direct
0.116 0.116 0.116
0.884 0.884 0.884
0.364 0.364 0.364
0.636 0.636 0.636
```

energy of formation from the pure elements: 0.4 eV/f.u.
M_tot: 1.36 μB/atom
volume: 15.7 Å³ per atom

---

Record 3
Entry from Alexandria via LeMat-Bulk: a crystal of YMnOs2 relaxed with PBEsol (meta-GGA SCAN).

Structure (POSCAR):
```
YMnOs2
1.0
0.000 3.166 3.166
3.166 0.000 3.166
3.166 3.166 0.000
Y Mn Os
1 1 2
Direct
0.000 0.000 0.000
0.500 0.500 0.500
0.250 0.250 0.250
0.750 0.750 0.750
```

energy of formation from the pure elements: 0.7 eV/f.u.
M_tot: 0.77 μB/atom
volume: 15.9 Å³ per atom

---

Record 4
Entry from Alexandria via LeMat-Bulk: a crystal of SrMnAu4 relaxed with PBEsol (meta-GGA SCAN).

Structure (POSCAR):
```
SrMnAu4
1.0
0.000 3.902 3.902
3.902 0.000 3.902
3.902 3.902 0.000
Sr Mn Au
1 1 4
Direct
0.000 0.000 0.000
0.750 0.750 0.750
0.376 0.376 0.376
0.376 0.376 0.873
0.376 0.873 0.376
0.873 0.376 0.376
```

energy of formation from the pure elements: -2.5 eV/f.u.
M_tot: 0.78 μB/atom
volume: 19.8 Å³ per atom

---

Record 5
Entry from Alexandria via LeMat-Bulk: a crystal of TaRh3 relaxed with PBEsol (meta-GGA SCAN).

Structure (POSCAR):
```
TaRh3
1.0
3.843 0.000 0.000
0.000 3.843 0.000
0.000 0.000 3.843
Ta Rh
1 3
Direct
0.000 0.000 0.000
0.000 0.500 0.500
0.500 0.000 0.500
0.500 0.500 0.000
```

energy of formation from the pure elements: -2.7 eV/f.u.
M_tot: 0.00 μB/atom
volume: 14.2 Å³ per atom

---

Record 6
Entry from Alexandria via LeMat-Bulk: a crystal of Ca5Mg3 relaxed with PBEsol (meta-GGA SCAN).

Structure (POSCAR):
```
Ca5Mg3
1.0
4.077 -5.666 0.000
4.077 5.666 0.000
0.000 0.000 5.662
Ca Mg
5 3
Direct
0.000 0.000 0.000
0.000 0.500 0.000
0.272 0.272 0.500
0.500 0.000 0.000
0.728 0.728 0.500
0.237 0.763 0.500
0.500 0.500 0.000
0.763 0.237 0.500
```

energy of formation from the pure elements: -0.2 eV/f.u.
M_tot: 0.09 μB/atom
volume: 32.7 Å³ per atom

---

Record 7
Entry from Alexandria via LeMat-Bulk: a crystal of Ba2CrHg relaxed with PBEsol (meta-GGA SCAN).

Structure (POSCAR):
```
Ba2CrHg
1.0
0.000 3.906 3.906
3.906 0.000 3.906
3.906 3.906 0.000
Ba Cr Hg
2 1 1
Direct
0.000 0.000 0.000
0.250 0.250 0.250
0.750 0.750 0.750
0.500 0.500 0.500
```

energy of formation from the pure elements: 0.0 eV/f.u.
M_tot: 1.34 μB/atom
volume: 29.8 Å³ per atom

---

Record 8
Entry from Alexandria via LeMat-Bulk: a crystal of Ba2TiAlGa relaxed with PBEsol (meta-GGA SCAN).

Structure (POSCAR):
```
Ba2TiAlGa
1.0
5.891 0.000 0.000
0.000 5.891 0.000
0.000 0.000 5.089
Ba Ti Al Ga
2 1 1 1
Direct
0.000 0.500 0.000
0.500 0.000 0.000
0.000 0.000 0.000
0.000 0.000 0.500
0.500 0.500 0.500
```

energy of formation from the pure elements: 2.9 eV/f.u.
M_tot: 0.56 μB/atom
volume: 35.3 Å³ per atom

---

Record 9
Entry from Alexandria via LeMat-Bulk: a crystal of TcCl3 relaxed with PBEsol (meta-GGA SCAN).

Structure (POSCAR):
```
TcCl3
1.0
5.015 2.895 7.283
-5.015 2.895 7.283
0.000 -5.791 7.283
Tc Cl
6 18
Direct
0.119 0.357 0.357
0.357 0.119 0.357
0.357 0.357 0.119
0.643 0.643 0.881
0.643 0.881 0.643
0.881 0.643 0.643
0.028 0.719 0.719
0.122 0.122 0.594
0.122 0.594 0.122
0.174 0.489 0.489
0.281 0.281 0.972
0.281 0.972 0.281
0.406 0.878 0.878
0.489 0.174 0.489
0.489 0.489 0.174
0.511 0.511 0.826
0.511 0.826 0.511
0.594 0.122 0.122
0.719 0.028 0.719
0.719 0.719 0.028
0.826 0.511 0.511
0.878 0.406 0.878
0.878 0.878 0.406
0.972 0.281 0.281
```

M_tot: 0.00 μB/atom
volume: 26.4 Å³ per atom
raw formation energy: -0.842 eV per atom

---

Record 10
Entry from Alexandria via LeMat-Bulk: a crystal of BeInCu2 relaxed with PBEsol (meta-GGA SCAN).

Structure (POSCAR):
```
BeInCu2
1.0
3.753 0.000 0.000
0.000 3.753 0.000
0.000 0.000 3.694
Be In Cu
1 1 2
Direct
0.000 0.000 0.000
0.500 0.500 0.000
0.000 0.500 0.500
0.500 0.000 0.500
```

energy of formation from the pure elements: 0.5 eV/f.u.
M_tot: 0.00 μB/atom
volume: 13.0 Å³ per atom

---

Record 11
Entry from Alexandria via LeMat-Bulk: a crystal of KFeRu relaxed with PBEsol (meta-GGA SCAN).

Structure (POSCAR):
```
KFeRu
1.0
-1.509 1.509 6.409
1.509 -1.509 6.409
1.509 1.509 -6.409
K Fe Ru
1 1 1
Direct
0.000 0.000 0.000
0.289 0.289 0.000
0.708 0.708 0.000
```

energy of formation from the pure elements: 2.3 eV/f.u.
M_tot: 1.32 μB/atom
volume: 19.5 Å³ per atom

---

Which formula does entry 9 have?
TcCl3